The following is a DFT calculation (PBEsol) of Tm3Sb4Au3 after structural relaxation.

Cell and atoms, written as POSCAR:
```
Tm3Sb4Au3
1.0
-4.858 4.858 4.858
4.858 -4.858 4.858
4.858 4.858 -4.858
Tm Sb Au
6 8 6
Direct
0.125 0.875 0.250 Tm
0.250 0.125 0.875 Tm
0.375 0.625 0.750 Tm
0.625 0.750 0.375 Tm
0.750 0.375 0.625 Tm
0.875 0.250 0.125 Tm
0.000 0.181 0.500 Sb
0.000 0.681 0.500 Sb
0.181 0.500 0.000 Sb
0.319 0.319 0.319 Sb
0.500 0.000 0.181 Sb
0.500 0.000 0.681 Sb
0.681 0.500 0.000 Sb
0.819 0.819 0.819 Sb
0.125 0.750 0.875 Au
0.250 0.625 0.375 Au
0.375 0.250 0.625 Au
0.625 0.375 0.250 Au
0.750 0.875 0.125 Au
0.875 0.125 0.750 Au
```

Results
E in eV per atom: -5.2953
Symmetry: I-43d (220)
Formation energy (no corrections) in eV/f.u.: -8.3
Calculated volume in Å³ per cell: 458.58
Crystal system: cubic



The following is a DFT calculation (PBEsol) of Li2MgAu after structural relaxation.

Cell and atoms, written as POSCAR:
```
Li2MgAu
1.0
3.949 0.000 0.000
0.000 3.949 0.000
0.000 0.000 4.199
Li Mg Au
2 1 1
Direct
0.000 0.500 0.000 Li
0.500 0.000 0.000 Li
0.000 0.000 0.500 Mg
0.500 0.500 0.500 Au
```

Results
Energy of formation in meV per atom: -378
E in eV per atom: -2.7713
Symmetry: P4/mmm (123)
Calculated volume in Å³ per cell: 65.50
Crystal system: tetragonal



The following is a DFT calculation (PBEsol) of LaAlTe4 after structural relaxation.

Cell and atoms, written as POSCAR:
```
LaAlTe4
1.0
0.000 4.434 4.434
4.434 0.000 4.434
4.434 4.434 0.000
La Al Te
1 1 4
Direct
0.000 0.000 0.000 La
0.250 0.250 0.250 Al
0.125 0.625 0.625 Te
0.625 0.125 0.625 Te
0.625 0.625 0.125 Te
0.625 0.625 0.625 Te
```

Results
E in eV per atom: -3.9494
Symmetry: F-43m (216)
Formation energy (no corrections) in eV/f.u.: -0.2
Calculated volume in Å³ per cell: 174.39
Crystal system: cubic



The following is a DFT calculation (PBEsol) of Nb3CdHg after structural relaxation.

Cell and atoms, written as POSCAR:
```
Nb3CdHg
1.0
5.005 0.000 0.000
0.000 5.005 0.000
0.000 0.000 5.005
Nb Cd Hg
3 1 1
Direct
0.000 0.000 0.500 Nb
0.000 0.500 0.000 Nb
0.500 0.000 0.000 Nb
0.500 0.500 0.500 Cd
0.000 0.000 0.000 Hg
```

Results
Energy of formation in meV per atom: 1837
E in eV per atom: -5.0084
Symmetry: Pm-3m (221)
Calculated volume in Å³ per cell: 125.39
Crystal system: cubic



The following is a DFT calculation (PBEsol) of Sr2CaLa after structural relaxation.

Cell and atoms, written as POSCAR:
```
Sr2CaLa
1.0
3.781 0.000 0.000
0.000 6.268 0.000
-1.344 0.000 7.241
Sr Ca La
2 1 1
Direct
0.000 0.000 0.000 Sr
0.243 0.500 0.736 Sr
0.766 0.500 0.253 Ca
0.501 0.000 0.490 La
```

Results
Energy of formation in meV per atom: 121
E in eV per atom: -2.6688
Symmetry: Pm (6)
Calculated volume in Å³ per cell: 171.60
Crystal system: monoclinic



The following is a DFT calculation (PBEsol) of Y2AlTlB after structural relaxation.

Cell and atoms, written as POSCAR:
```
Y2AlTlB
1.0
5.508 0.000 0.000
0.000 5.508 0.000
0.000 0.000 3.898
Y Al Tl B
2 1 1 1
Direct
0.000 0.500 0.000 Y
0.500 0.000 0.000 Y
0.000 0.000 0.000 Al
0.500 0.500 0.500 Tl
0.000 0.000 0.500 B
```

Results
Energy of formation in meV per atom: 398
E in eV per atom: -5.0787
Symmetry: P4/mmm (123)
Calculated volume in Å³ per cell: 118.26
Crystal system: tetragonal



The following is a DFT calculation (PBEsol) of In2Te2MoO10 after structural relaxation.

Cell and atoms, written as POSCAR:
```
In2Te2MoO10
1.0
11.941 0.000 0.000
0.000 5.338 0.000
-11.039 0.000 12.661
In Te Mo O
8 8 4 40
Direct
0.032 0.212 0.185 In
0.032 0.288 0.685 In
0.183 0.748 0.124 In
0.183 0.752 0.624 In
0.817 0.248 0.376 In
0.817 0.252 0.876 In
0.968 0.712 0.315 In
0.968 0.788 0.815 In
0.189 0.197 0.465 Te
0.189 0.303 0.965 Te
0.392 0.229 0.764 Te
0.392 0.271 0.264 Te
0.608 0.729 0.736 Te
0.608 0.771 0.236 Te
0.811 0.697 0.035 Te
0.811 0.803 0.535 Te
0.324 0.736 0.387 Mo
0.324 0.764 0.887 Mo
0.676 0.236 0.113 Mo
0.676 0.264 0.613 Mo
0.015 0.105 0.914 O
0.015 0.395 0.414 O
0.086 0.043 0.325 O
0.086 0.457 0.825 O
0.103 0.594 0.978 O
0.103 0.906 0.478 O
0.188 0.530 0.372 O
0.188 0.970 0.872 O
0.206 0.065 0.718 O
0.206 0.435 0.218 O
0.259 0.557 0.777 O
0.259 0.943 0.277 O
0.276 0.096 0.131 O
0.276 0.404 0.631 O
0.389 0.582 0.995 O
0.389 0.918 0.495 O
0.400 0.566 0.201 O
0.400 0.934 0.701 O
0.472 0.579 0.414 O
0.472 0.921 0.914 O
0.528 0.079 0.086 O
0.528 0.421 0.586 O
0.600 0.066 0.299 O
0.600 0.434 0.799 O
0.611 0.082 0.505 O
0.611 0.418 0.005 O
0.724 0.596 0.369 O
0.724 0.904 0.869 O
0.741 0.057 0.723 O
0.741 0.443 0.223 O
0.794 0.565 0.782 O
0.794 0.935 0.282 O
0.812 0.030 0.128 O
0.812 0.470 0.628 O
0.897 0.094 0.522 O
0.897 0.406 0.022 O
0.914 0.543 0.175 O
0.914 0.957 0.675 O
0.985 0.605 0.586 O
0.985 0.895 0.086 O
```

Results
E in eV per atom: -6.6585
Symmetry: P2_1/c (14)
Formation energy (no corrections) in eV/f.u.: -22.6
Calculated volume in Å³ per cell: 806.98
Crystal system: monoclinic



The following is a DFT calculation (PBEsol) of Cs2ScInBr6 after structural relaxation.

Cell and atoms, written as POSCAR:
```
Cs2ScInBr6
1.0
0.000 5.689 5.689
5.689 0.000 5.689
5.689 5.689 0.000
Cs Sc In Br
2 1 1 6
Direct
0.250 0.250 0.250 Cs
0.750 0.750 0.750 Cs
0.000 0.000 0.000 Sc
0.500 0.500 0.500 In
0.231 0.231 0.769 Br
0.231 0.769 0.231 Br
0.231 0.769 0.769 Br
0.769 0.231 0.231 Br
0.769 0.231 0.769 Br
0.769 0.769 0.231 Br
```

Results
E in eV per atom: -3.8163
Symmetry: Fm-3m (225)
Formation energy (no corrections) in eV/f.u.: -15.5
Calculated volume in Å³ per cell: 368.26
Crystal system: cubic



The following is a DFT calculation (PBEsol) of TaTl2HCl after structural relaxation.

Cell and atoms, written as POSCAR:
```
TaTl2HCl
1.0
5.314 0.000 0.000
0.000 5.314 0.000
0.000 0.000 3.384
Ta Tl H Cl
1 2 1 1
Direct
0.000 0.000 0.000 Ta
0.000 0.500 0.500 Tl
0.500 0.000 0.500 Tl
0.000 0.000 0.500 H
0.500 0.500 0.000 Cl
```

Results
E in eV per atom: -4.3227
Symmetry: P4/mmm (123)
Calculated volume in Å³ per cell: 95.57
Crystal system: tetragonal



The following is a DFT calculation (PBEsol) of LaAg4 after structural relaxation.

Cell and atoms, written as POSCAR:
```
LaAg4
1.0
-4.746 4.746 4.746
4.746 -4.746 4.746
4.746 4.746 -4.746
La Ag
4 16
Direct
0.000 0.000 0.424 La
0.000 0.424 0.000 La
0.424 0.000 0.000 La
0.576 0.576 0.576 La
0.000 0.000 0.789 Ag
0.000 0.354 0.354 Ag
0.000 0.646 0.646 Ag
0.000 0.789 0.000 Ag
0.211 0.211 0.211 Ag
0.250 0.500 0.750 Ag
0.250 0.750 0.500 Ag
0.354 0.000 0.354 Ag
0.354 0.354 0.000 Ag
0.500 0.250 0.750 Ag
0.500 0.750 0.250 Ag
0.646 0.000 0.646 Ag
0.646 0.646 0.000 Ag
0.750 0.250 0.500 Ag
0.750 0.500 0.250 Ag
0.789 0.000 0.000 Ag
```

Results
Energy of formation in meV per atom: -128
E in eV per atom: -3.8459
Symmetry: I-43m (217)
Calculated volume in Å³ per cell: 427.74
Crystal system: cubic



The following is a DFT calculation (PBEsol) of Zr6Al16Co7 after structural relaxation.

Cell and atoms, written as POSCAR:
```
Zr6Al16Co7
1.0
0.000 6.033 6.033
6.033 0.000 6.033
6.033 6.033 0.000
Zr Al Co
6 16 7
Direct
0.194 0.194 0.806 Zr
0.194 0.806 0.194 Zr
0.194 0.806 0.806 Zr
0.806 0.194 0.194 Zr
0.806 0.194 0.806 Zr
0.806 0.806 0.194 Zr
0.145 0.618 0.618 Al
0.165 0.165 0.165 Al
0.165 0.165 0.505 Al
0.165 0.505 0.165 Al
0.382 0.382 0.382 Al
0.382 0.382 0.855 Al
0.382 0.855 0.382 Al
0.495 0.835 0.835 Al
0.505 0.165 0.165 Al
0.618 0.145 0.618 Al
0.618 0.618 0.145 Al
0.618 0.618 0.618 Al
0.835 0.495 0.835 Al
0.835 0.835 0.495 Al
0.835 0.835 0.835 Al
0.855 0.382 0.382 Al
0.000 0.000 0.500 Co
0.000 0.500 0.000 Co
0.000 0.500 0.500 Co
0.500 0.000 0.000 Co
0.500 0.000 0.500 Co
0.500 0.500 0.000 Co
0.500 0.500 0.500 Co
```

Results
Energy of formation in meV per atom: -587
E in eV per atom: -6.5925
Symmetry: Fm-3m (225)
Calculated volume in Å³ per cell: 439.08
Crystal system: cubic



The following is a DFT calculation (PBEsol) of AgRhN2 after structural relaxation.

Cell and atoms, written as POSCAR:
```
AgRhN2
1.0
4.797 0.000 0.000
0.000 4.797 0.000
0.000 0.000 9.170
Ag Rh N
4 4 8
Direct
0.000 0.000 0.000 Ag
0.000 0.500 0.250 Ag
0.500 0.000 0.750 Ag
0.500 0.500 0.500 Ag
0.000 0.000 0.500 Rh
0.000 0.500 0.750 Rh
0.500 0.000 0.250 Rh
0.500 0.500 0.000 Rh
0.193 0.250 0.625 N
0.250 0.693 0.875 N
0.250 0.807 0.375 N
0.307 0.250 0.125 N
0.693 0.750 0.125 N
0.750 0.193 0.375 N
0.750 0.307 0.875 N
0.807 0.750 0.625 N
```

Results
E in eV per atom: -6.3547
Symmetry: I-42d (122)
Formation energy (no corrections) in eV/f.u.: 3.1
Calculated volume in Å³ per cell: 211.05
Crystal system: tetragonal



The following is a DFT calculation (PBEsol) of CoSbRu after structural relaxation.

Cell and atoms, written as POSCAR:
```
CoSbRu
1.0
2.981 0.000 0.000
-1.490 2.581 0.000
0.000 0.000 5.921
Co Sb Ru
1 1 1
Direct
0.000 0.000 0.000 Co
0.333 0.667 0.331 Sb
0.667 0.333 0.682 Ru
```

Results
E in eV per atom: -7.0175
Symmetry: P3m1 (156)
Formation energy (no corrections) in eV/f.u.: 1.4
Calculated volume in Å³ per cell: 45.56
Crystal system: trigonal



The following is a DFT calculation (PBEsol) of Zr3AlCo8 after structural relaxation.

Cell and atoms, written as POSCAR:
```
Zr3AlCo8
1.0
2.375 1.371 7.772
-2.375 1.371 7.772
0.000 -2.743 7.772
Zr Al Co
3 1 8
Direct
0.000 0.000 0.000 Zr
0.127 0.127 0.127 Zr
0.618 0.618 0.618 Zr
0.495 0.495 0.495 Al
0.059 0.059 0.562 Co
0.059 0.562 0.059 Co
0.065 0.560 0.560 Co
0.311 0.311 0.311 Co
0.560 0.065 0.560 Co
0.560 0.560 0.065 Co
0.562 0.059 0.059 Co
0.811 0.811 0.811 Co
```

Results
Energy of formation in meV per atom: -367
E in eV per atom: -8.1381
Symmetry: R3m (160)
Calculated volume in Å³ per cell: 151.88
Crystal system: trigonal



The following is a DFT calculation (PBEsol) of ZnTc2Mo after structural relaxation.

Cell and atoms, written as POSCAR:
```
ZnTc2Mo
1.0
6.101 0.000 0.000
0.000 6.101 0.000
0.000 0.000 6.101
Zn Tc Mo
4 8 4
Direct
0.000 0.000 0.000 Zn
0.000 0.500 0.500 Zn
0.500 0.000 0.500 Zn
0.500 0.500 0.000 Zn
0.000 0.000 0.500 Tc
0.000 0.500 0.000 Tc
0.250 0.250 0.750 Tc
0.250 0.750 0.250 Tc
0.500 0.000 0.000 Tc
0.500 0.500 0.500 Tc
0.750 0.250 0.250 Tc
0.750 0.750 0.750 Tc
0.250 0.250 0.250 Mo
0.250 0.750 0.750 Mo
0.750 0.250 0.750 Mo
0.750 0.750 0.250 Mo
```

Results
Energy of formation in meV per atom: 258
E in eV per atom: -8.7127
Symmetry: F-43m (216)
Calculated volume in Å³ per cell: 227.05
Crystal system: cubic



The following is a DFT calculation (PBEsol) of TiFeSi2 after structural relaxation.

Cell and atoms, written as POSCAR:
```
TiFeSi2
1.0
8.474 0.000 0.000
0.000 9.426 0.000
0.000 0.000 7.517
Ti Fe Si
12 12 24
Direct
0.168 0.180 0.000 Ti
0.174 0.451 0.239 Ti
0.174 0.451 0.761 Ti
0.326 0.951 0.239 Ti
0.326 0.951 0.761 Ti
0.332 0.680 0.000 Ti
0.668 0.320 0.000 Ti
0.674 0.049 0.239 Ti
0.674 0.049 0.761 Ti
0.826 0.549 0.239 Ti
0.826 0.549 0.761 Ti
0.832 0.820 0.000 Ti
0.000 0.000 0.244 Fe
0.000 0.000 0.756 Fe
0.090 0.743 0.248 Fe
0.090 0.743 0.752 Fe
0.410 0.243 0.248 Fe
0.410 0.243 0.752 Fe
0.500 0.500 0.244 Fe
0.500 0.500 0.756 Fe
0.590 0.757 0.248 Fe
0.590 0.757 0.752 Fe
0.910 0.257 0.248 Fe
0.910 0.257 0.752 Fe
0.039 0.620 0.000 Si
0.041 0.623 0.500 Si
0.121 0.901 0.500 Si
0.126 0.896 0.000 Si
0.162 0.181 0.344 Si
0.162 0.181 0.656 Si
0.338 0.681 0.344 Si
0.338 0.681 0.656 Si
0.374 0.396 0.000 Si
0.379 0.401 0.500 Si
0.459 0.123 0.500 Si
0.461 0.120 0.000 Si
0.539 0.880 0.000 Si
0.541 0.877 0.500 Si
0.621 0.599 0.500 Si
0.626 0.604 0.000 Si
0.662 0.319 0.344 Si
0.662 0.319 0.656 Si
0.838 0.819 0.344 Si
0.838 0.819 0.656 Si
0.874 0.104 0.000 Si
0.879 0.099 0.500 Si
0.959 0.377 0.500 Si
0.961 0.380 0.000 Si
```

Results
E in eV per atom: -7.9789
Symmetry: Pbam (55)
Formation energy (no corrections) in eV/f.u.: -3.1
Calculated volume in Å³ per cell: 600.48
Crystal system: orthorhombic



The following is a DFT calculation (PBEsol) of LiZr4Cu after structural relaxation.

Cell and atoms, written as POSCAR:
```
LiZr4Cu
1.0
0.000 3.982 3.982
3.982 0.000 3.982
3.982 3.982 0.000
Li Zr Cu
1 4 1
Direct
0.000 0.000 0.000 Li
0.376 0.376 0.376 Zr
0.376 0.376 0.873 Zr
0.376 0.873 0.376 Zr
0.873 0.376 0.376 Zr
0.750 0.750 0.750 Cu
```

Results
Energy of formation in meV per atom: 608
E in eV per atom: -6.5020
Symmetry: F-43m (216)
Calculated volume in Å³ per cell: 126.30
Crystal system: cubic



The following is a DFT calculation (PBEsol) of RhCO3 after structural relaxation.

Cell and atoms, written as POSCAR:
```
RhCO3
1.0
3.754 0.000 0.000
0.000 3.754 0.000
0.000 0.000 3.754
Rh C O
1 1 3
Direct
0.000 0.000 0.000 Rh
0.500 0.500 0.500 C
0.000 0.000 0.500 O
0.000 0.500 0.000 O
0.500 0.000 0.000 O
```

Results
E in eV per atom: -5.5391
Symmetry: Pm-3m (221)
Formation energy (no corrections) in eV/f.u.: 5.8
Calculated volume in Å³ per cell: 52.91
Crystal system: cubic



The following is a DFT calculation (PBEsol) of OsAuI2N after structural relaxation.

Cell and atoms, written as POSCAR:
```
OsAuI2N
1.0
5.449 0.000 0.000
0.000 5.449 0.000
0.000 0.000 3.690
Os Au I N
1 1 2 1
Direct
0.000 0.000 0.000 Os
0.500 0.500 0.500 Au
0.000 0.500 0.000 I
0.500 0.000 0.000 I
0.000 0.000 0.500 N
```

Results
E in eV per atom: -5.0316
Symmetry: P4/mmm (123)
Formation energy (no corrections) in eV/f.u.: 3.0
Calculated volume in Å³ per cell: 109.55
Crystal system: tetragonal